First-principles (GGA+U) data for a geometry-optimized CuIrWO6 structure, as listed in the Alexandria database.

Results
For the calculated total energy, the calculation gives -6.704 eV per atom.

abc: 4.6845 4.6845 9.2522
angles: 90.00 90.00 90.00
Last column: nearest neighbours and their distance in Å.
Space group P4_2nm (No. 102)
Inequivalent atoms, fractional coordinates:
Cu: 0.0000 0.0000 0.0000 x2  6 O 2.06-2.16
Ir: 0.0000 0.0000 0.3328 x2  6 O 1.96-2.02
W: 0.0000 0.0000 0.6700 x2  6 O 1.94-1.98
O: 0.1889 0.1889 0.5047 x4  1 W 1.98, 1 Ir 2.02, 1 Cu 2.06
O: 0.2031 0.2031 0.1734 x4  1 W 1.97, 1 Ir 2.00, 1 Cu 2.09
O: 0.2055 0.2055 0.8192 x4  1 W 1.94, 1 Ir 1.96, 1 Cu 2.16